[1]
Computed, not measured: a relaxed Ca3PO crystal at the PBE-GGA level of DFT.

Lattice parameters (Å, degrees): 4.653 4.653 4.653 90.00 90.00 90.00
Space group Pm-3m (No. 221)
Symmetry-distinct sites (fractional):
Ca 0.000 0.000 0.500 x3
P 0.500 0.500 0.500 x1
O 0.000 0.000 0.000 x1

Values from the calculation:
As for the energy above the most stable polymorph in this dataset: 0.078 eV per atom. The density of states at the Fermi level is 3.357 states/eV per cell. The magnetization is 0.00 μB per cell. As for the crystal system: cubic.

***

[2]
Computed, not measured: a relaxed Ca5P3O13 crystal at the PBE-GGA level of DFT.

Lattice parameters (Å, degrees): 9.5546 9.5546 6.9085 90.00 90.00 120.00
Space group P6_3/m (No. 176)
Symmetry-distinct sites (fractional):
Ca 0.0000 0.2486 0.2500 x6
Ca 0.3333 0.6667 0.5017 x4
P 0.0298 0.6304 0.2500 x6
O 0.0000 0.0000 0.2500 x2
O 0.0844 0.7416 0.0688 x12
O 0.1244 0.5362 0.2500 x6
O 0.1552 0.4874 0.7500 x6

Values from the calculation:
The magnetization is 2.16 μB per cell. As for the crystal system: hexagonal.

***

[3]
Computed, not measured: a relaxed Ca2P6O17 crystal at the PBE-GGA level of DFT.

Lattice parameters (Å, degrees): 5.846 18.507 7.724 90.00 111.03 90.00
Space group P2_1 (No. 4)
Symmetry-distinct sites (fractional):
Ca 0.092 0.000 0.109 x2
Ca 0.093 0.648 0.603 x2
P 0.271 0.408 0.333 x2
P 0.277 0.241 0.831 x2
P 0.319 0.394 0.731 x2
P 0.324 0.254 0.229 x2
P 0.473 0.045 0.562 x2
P 0.489 0.604 0.046 x2
O 0.065 0.440 0.180 x2
O 0.068 0.211 0.675 x2
O 0.114 0.412 0.794 x2
O 0.125 0.231 0.295 x2
O 0.198 0.387 0.504 x2
O 0.203 0.260 0.002 x2
O 0.224 0.059 0.417 x2
O 0.233 0.587 0.916 x2
O 0.298 0.088 0.011 x2
O 0.302 0.573 0.463 x2
O 0.391 0.339 0.280 x2
O 0.403 0.310 0.785 x2
O 0.437 0.716 0.716 x2
O 0.452 0.937 0.214 x2
O 0.459 0.066 0.758 x2
O 0.489 0.689 0.100 x2
O 0.491 0.957 0.590 x2

Values from the calculation:
The density of states at the Fermi level is 0.000 states/eV per cell. The magnetization is 0.00 μB per cell. As for the crystal system: monoclinic.

***

[4]
Computed, not measured: a relaxed CaPO4 crystal at the PBE-GGA level of DFT.

Lattice parameters (Å, degrees): 4.967 4.967 11.637 90.00 90.00 90.00
Space group I4_1/a (No. 88, origin choice 2)
Symmetry-distinct sites (fractional):
Ca 0.000 0.250 0.125 x4
P 0.000 0.250 0.625 x4
O 0.110 0.489 0.697 x16

Values from the calculation:
The density of states at the Fermi level is 10.274 states/eV per cell. The magnetization is 4.11 μB per cell. As for the crystal system: tetragonal.

***

[5]
Computed, not measured: a relaxed Ca3PO crystal at the PBE-GGA level of DFT.

Lattice parameters (Å, degrees): 13.296 10.077 7.105 90.00 103.55 90.00
Space group C2/c (No. 15)
Symmetry-distinct sites (fractional):
Ca 0.133 0.086 0.496 x8
Ca 0.135 0.438 0.623 x8
Ca 0.143 0.242 0.052 x8
P 0.000 0.110 0.750 x4
P 0.000 0.357 0.250 x4
O 0.230 0.421 0.951 x8

Values from the calculation:
As for the energy above the most stable polymorph in this dataset: 0.000 eV per atom. The density of states at the Fermi level is 1.939 states/eV per cell. The magnetization is 0.00 μB per cell. As for the crystal system: monoclinic.

***

[6]
Computed, not measured: a relaxed Ca2P2O7 crystal at the PBE-GGA level of DFT.

Lattice parameters (Å, degrees): 5.440 8.525 13.839 90.00 111.03 90.00
Space group P2_1/c (No. 14)
Symmetry-distinct sites (fractional):
Ca 0.002 0.183 0.257 x4
Ca 0.336 0.112 0.590 x4
P 0.234 0.736 0.027 x4
P 0.461 0.514 0.682 x4
O 0.051 0.748 0.414 x4
O 0.085 0.647 0.087 x4
O 0.282 0.105 0.767 x4
O 0.285 0.528 0.748 x4
O 0.296 0.586 0.569 x4
O 0.473 0.654 0.338 x4
O 0.494 0.653 0.043 x4

Values from the calculation:
The density of states at the Fermi level is 0.000 states/eV per cell. The magnetization is 0.00 μB per cell. As for the crystal system: monoclinic.

***

[7]
Computed, not measured: a relaxed CaP2O6 crystal at the PBE-GGA level of DFT.

Lattice parameters (Å, degrees): 10.487 9.924 5.009 90.00 105.09 90.00
Space group C2/c (No. 15)
Symmetry-distinct sites (fractional):
Ca 0.000 0.132 0.250 x4
P 0.217 0.417 0.226 x8
O 0.134 0.069 0.689 x8
O 0.155 0.281 0.203 x8
O 0.157 0.495 0.938 x8

Values from the calculation:
The density of states at the Fermi level is 0.000 states/eV per cell. The magnetization is 0.00 μB per cell. As for the crystal system: monoclinic.

***

[8]
Computed, not measured: a relaxed Ca6P3O crystal at the PBE-GGA level of DFT.

Lattice parameters (Å, degrees): 11.147 13.911 6.736 90.00 90.00 90.00
Space group Cmc2_1 (No. 36)
Symmetry-distinct sites (fractional):
Ca 0.000 0.047 0.000 x4
Ca 0.000 0.217 0.524 x4
Ca 0.151 0.264 0.017 x8
Ca 0.160 0.482 0.540 x8
P 0.000 0.387 0.262 x4
P 0.182 0.107 0.311 x8
O 0.000 0.191 0.853 x4

Values from the calculation:
The density of states at the Fermi level is 16.214 states/eV per cell. The magnetization is 2.39 μB per cell. As for the crystal system: orthorhombic.

***

no.,uncorrected formation energy (eV per atom)
1,-1.53
2,-2.81
3,-2.38
4,-2.37
5,-1.61
6,-2.77
7,-2.50
8,-1.39